4
Lattice="0.000 3.206 3.206 3.206 0.000 3.206 3.206 3.206 0.000" Properties=species:S:1:pos:R:3 comment="GGA-PBE NaCoHgW, optimized geometry" space_group="F-43m (216)" pbc="T T T"
Co 0.000 0.000 0.000
Hg 3.206 3.206 3.206
Na 4.808 4.808 4.808
W 1.603 1.603 1.603


14
Lattice="-1.226 6.474 4.791 -5.542 -5.043 -3.198 3.617 -2.793 2.073" Properties=species:S:1:pos:R:3 comment="GGA-PBE ErCu2C4, optimized geometry" space_group="C2/c (15)" pbc="T T T"
C -4.740 -0.664 0.146
C -0.913 1.246 2.057
C -2.969 1.663 2.566
C -1.300 -2.186 0.482
C -1.851 0.824 3.184
C -0.182 -3.025 1.099
C -2.238 -2.608 1.609
C 1.590 -0.698 3.519
Cu -0.613 3.237 2.395
Cu -3.384 0.716 0.796
Cu -0.962 -3.918 -0.563
Cu -1.575 -0.681 1.833
Er -4.099 -4.305 -1.684
Er 0.948 2.943 5.349


| no. | VASP energy (eV/atom) | calculated density (g/cm3) |
| --- | --- | --- |
| 1 | -4.49 | 11.75 |
| 2 | -6.16 | 6.15 |